# 1
{
  "formula": "SiRu2Rh",
  "functional": "PBE",
  "state": "optimized geometry",
  "raw_formation_energy_mev_per_atom": -265,
  "rho_g_cm3": 10.09,
  "total_energy_ev_per_atom": -8.096,
  "total_magnetization_mub_per_cell": 0.00,
  "lattice": [[3.872, 0.000, 0.000], [0.000, 1.388, 5.101], [0.000, -1.388, 5.101]],
  "species": ["Si", "Ru", "Ru", "Rh"],
  "frac_coords": [[0.000, 0.000, 0.000], [0.000, 0.241, 0.241], [0.500, 0.851, 0.851], [0.500, 0.587, 0.587]]
}

# 2
{
  "formula": "MnGe3Au",
  "functional": "PBE",
  "state": "optimized geometry",
  "rho_g_cm3": 8.03,
  "total_energy_ev_per_atom": -5.098,
  "total_magnetization_mub_per_cell": 0.00,
  "formation_energy_kj_per_mol_atoms": 15.6,
  "lattice": [[4.598, 0.000, 0.000], [0.000, 4.598, 0.000], [0.000, 0.000, 4.598]],
  "species": ["Mn", "Ge", "Ge", "Ge", "Au"],
  "frac_coords": [[0.000, 0.000, 0.000], [0.000, 0.000, 0.500], [0.000, 0.500, 0.000], [0.500, 0.000, 0.000], [0.500, 0.500, 0.500]]
}

# 3
{
  "formula": "Ca2PtBr",
  "functional": "PBE",
  "state": "optimized geometry",
  "raw_formation_energy_mev_per_atom": -845,
  "rho_g_cm3": 5.69,
  "total_energy_ev_per_atom": -3.774,
  "total_magnetization_mub_per_cell": 0.00,
  "lattice": [[-2.068, 2.068, 6.061], [2.068, -2.068, 6.061], [2.068, 2.068, -6.061]],
  "species": ["Ca", "Ca", "Pt", "Br"],
  "frac_coords": [[0.000, 0.000, 0.000], [0.750, 0.250, 0.500], [0.250, 0.750, 0.500], [0.500, 0.500, 0.000]]
}